An optimized crystal structure of MgZrW2Br. Source: Alexandria via LeMat-Bulk, functional PBE.

Its density of states at the Fermi level is 1.150 states/eV/atom. The value obtained for the total DFT energy (no corrections) is -5.461 eV/atom. As for the total magnetic moment: 1.9 Bohr magnetons per cell.

The structure belongs to space group P4/mmm (No. 123); the cell edges are 4.896, 4.896 and 5.866 Å and the angles 90.00°, 90.00° and 90.00°. Symmetry generates all atoms from Mg at (0.000, 0.000, 0.000), Zr at (0.000, 0.000, 0.500), W at (0.000, 0.500, 0.500) and Br at (0.500, 0.500, 0.000).